Record 1
VASP calculation (GGA-PBEsol) on an optimized crystal structure of KMg2Ni.

POSCAR file:
```
KMg2Ni
1.0
-3.097 -1.364 0.714
0.299 -2.107 -2.726
3.578 -5.636 4.749
K Mg Ni
1 2 1
direct
0.500 0.500 0.710
0.000 0.000 0.081
0.500 0.500 0.312
0.000 0.000 0.398
```

Output
Formation enthalpy at 0 K = 0.252 eV/atom
Uncorrected energy = -2.429 eV per atom
Energy relative to the lowest polymorph listed for this composition = 0.000 eV per atom
SG = No. 99

---

Record 2
VASP calculation (GGA-PBEsol) on an optimized crystal structure of K3MgNi.

POSCAR file:
```
K3MgNi
1.0
6.529 0.000 0.000
0.000 6.529 0.000
0.000 0.000 6.529
Ni K Mg
1 3 1
direct
0.500 0.500 0.500
0.000 0.500 0.000
0.000 0.000 0.500
0.500 0.000 0.000
0.000 0.000 0.000
```

Output
Formation enthalpy at 0 K = 1.040 eV/atom
Uncorrected energy = -1.215 eV per atom
SG = No. 221